! Cs3V4Te2ClO14 PBE with a Hubbard U relaxed; values from VASP
! E = -6.353 eV per atom
&SYSTEM
  ibrav = 0, nat = 48, ntyp = 5
/
ATOMIC_SPECIES
Cs 132.91 Cs.upf
V 50.94 V.upf
Te 127.60 Te.upf
Cl 35.45 Cl.upf
O 16.00 O.upf
ATOMIC_POSITIONS angstrom
Cs 0.0000 3.4667 12.5230
Cs 2.7732 1.2362 19.3160
Cs 0.0000 4.7029 18.2528
Cs 0.0000 2.2305 6.7931
Cs 2.7732 5.6972 5.7299
Cs 2.7732 0.0000 0.0000
V 0.0000 1.0457 15.9824
V 2.7732 2.4210 3.4595
V 0.0000 0.3139 2.9159
V 2.7732 3.1528 15.4389
V 0.0000 5.8877 9.0635
V 2.7732 4.5124 21.5865
V 2.7732 3.7806 9.6070
V 0.0000 6.6195 22.1300
Te 2.7732 0.3677 10.3821
Te 2.7732 6.5657 14.6638
Te 0.0000 3.8344 2.1408
Te 0.0000 3.0990 22.9051
Cl 0.0000 0.0000 12.5230
Cl 2.7732 3.4667 0.0000
O 1.4019 5.6328 22.4945
O 0.0000 5.7647 1.8020
O 0.0000 1.1687 23.2440
O 1.3713 2.1661 15.0744
O 1.4019 1.3006 2.5514
O 2.7732 3.3686 8.0110
O 4.1751 4.7673 9.9715
O 1.3501 0.4261 9.1378
O 4.1751 2.1661 15.0744
O 0.0000 5.3957 7.4861
O 4.1445 1.3006 2.5514
O 4.1963 6.5073 15.9081
O 4.1233 3.0406 21.6607
O 2.7732 3.5648 17.0349
O 2.7732 2.2980 10.7210
O 4.1233 3.8928 3.3852
O 1.3713 4.7673 9.9715
O 2.7732 5.0043 20.0091
O 1.4231 3.8928 3.3852
O 0.0000 1.5376 17.5598
O 1.4231 3.0406 21.6607
O 0.0000 0.0981 20.5340
O 4.1445 5.6328 22.4945
O 4.1963 0.4261 9.1378
O 2.7732 1.9291 5.0368
O 0.0000 6.8353 4.5120
O 1.3501 6.5073 15.9081
O 2.7732 4.6354 14.3249
CELL_PARAMETERS angstrom
5.5464 0.0000 0.0000
0.0000 6.9334 0.0000
0.0000 0.0000 25.0459